A crystal of Mg3PdAu relaxed with PBEsol, computed with SCAN. Values from VASP.

electronic total energy: -117.00 eV per cell
crystal system: cubic

The structure in Quantum ESPRESSO input format:
```
&SYSTEM
  ibrav = 0, nat = 5, ntyp = 3
/
ATOMIC_SPECIES
Mg 24.30 Mg.upf
Pd 106.42 Pd.upf
Au 196.97 Au.upf
ATOMIC_POSITIONS crystal
Mg 0.0000 0.5000 0.0000
Mg 0.0000 0.0000 0.5000
Mg 0.5000 0.0000 0.0000
Pd 0.5000 0.5000 0.5000
Au 0.0000 0.0000 0.0000
CELL_PARAMETERS angstrom
4.9208 0.0000 0.0000
0.0000 4.9208 0.0000
0.0000 0.0000 4.9208
```